Record 1
The following is a PBE calculation of a relaxed B2CS crystal, from Alexandria.

Values from the calculation:
- distance to the lowest polymorph of the same formula (eV per atom) = 0.439
- uncorrected formation energy (kJ/mol of formula units) = 107
- magnetic moment (μB per cell) = 0.00
- crystal system = monoclinic
- symmetry = Cm (8)

Unit cell a=4.8896 b=2.9229 c=7.3289 alpha=90.00 beta=128.02 gamma=90.00
Positions (direct):
B1 0.4215 0.0000 0.3096
B2 0.6686 0.5000 0.1203
B3 0.4215 0.5000 0.8096
B4 0.6686 0.0000 0.6203
C1 0.5667 0.5000 0.2843
C2 0.5667 0.0000 0.7843
S1 0.9230 0.5000 0.6221
S2 0.9230 0.0000 0.1221


Record 2
The following is a PBE calculation of a relaxed KSN3 crystal, from Alexandria.

Values from the calculation:
- uncorrected formation energy (kJ/mol of formula units) = 1553
- magnetic moment (μB per cell) = 7.46
- crystal system = cubic
- symmetry = Pm-3m (221)

Unit cell a=4.9885 b=4.9885 c=4.9885 alpha=90.00 beta=90.00 gamma=90.00
Site moments in Bohr magnetons follow the coordinates.
Positions (direct):
S1 0.5000 0.5000 0.5000  -0.30
N1 0.5000 0.0000 0.0000  1.71
N2 0.0000 0.0000 0.5000  1.81
N3 0.0000 0.5000 0.0000  1.79
K1 0.0000 0.0000 0.0000  0.12


Record 3
The following is a PBE calculation of a relaxed Y2FeCo crystal, from Alexandria.

Values from the calculation:
- E_form (kcal/mol of atoms) = 1.4
- distance to the lowest polymorph of the same formula (eV per atom) = 0.188
- magnetic moment (μB per cell) = 1.95
- crystal system = monoclinic
- symmetry = C2/m (12)

Unit cell a=7.5782 b=4.8022 c=3.3742 alpha=89.92 beta=63.68 gamma=129.29
Site moments in Bohr magnetons follow the coordinates.
Positions (direct):
Y1 0.5000 0.0000 0.5000  -0.27
Y2 0.0000 0.0000 0.0000  -0.27
Fe1 0.5000 0.5000 0.0000  2.06
Co1 0.0000 0.5000 0.5000  0.84


Record 4
The following is a PBE calculation of a relaxed Rb2TePt2 crystal, from Alexandria.

Values from the calculation:
- uncorrected formation energy (kJ/mol of formula units) = -98
- magnetic moment (μB per cell) = 0.00
- crystal system = tetragonal
- symmetry = P4/mbm (127)

Unit cell a=7.0969 b=7.0969 c=5.5993 alpha=90.00 beta=90.00 gamma=90.00
Positions (direct):
Pt1 0.1323 0.3677 0.0000
Pt2 0.3677 0.8677 0.0000
Pt3 0.6323 0.1323 0.0000
Pt4 0.8677 0.6323 0.0000
Rb1 0.3238 0.1762 0.5000
Rb2 0.8238 0.3238 0.5000
Rb3 0.1762 0.6762 0.5000
Rb4 0.6762 0.8238 0.5000
Te1 0.0000 0.0000 0.0000
Te2 0.5000 0.5000 0.0000


Record 5
The following is a PBE calculation of a relaxed TbNd2ZrAs4 crystal, from Alexandria.

Values from the calculation:
- E_form (kcal/mol of atoms) = -32.6
- magnetic moment (μB per cell) = 0.00
- crystal system = monoclinic
- symmetry = P2/m (10)

Unit cell a=4.1236 b=7.1425 c=7.1564 alpha=109.28 beta=90.00 gamma=90.00
Positions (direct):
Nd1 0.5000 0.0000 0.5000
Nd2 0.0000 0.5000 0.5000
As1 0.5000 0.2361 0.2306
As2 0.0000 0.2466 0.7646
As3 0.5000 0.7639 0.7694
As4 0.0000 0.7534 0.2354
Zr1 0.0000 0.0000 0.0000
Tb1 0.5000 0.5000 0.0000


Record 6
The following is a PBE calculation of a relaxed MnAgP2Cl crystal, from Alexandria.

Values from the calculation:
- distance to the lowest polymorph of the same formula (eV per atom) = 0.000
- uncorrected formation energy (kJ/mol of formula units) = 147
- magnetic moment (μB per cell) = 1.20
- crystal system = tetragonal
- symmetry = P4/mmm (123)

Unit cell a=4.2539 b=4.2539 c=5.3155 alpha=90.00 beta=90.00 gamma=90.00
Site moments in Bohr magnetons follow the coordinates.
Positions (direct):
Cl1 0.0000 0.0000 0.5000  -0.02
Ag1 0.5000 0.5000 0.5000  0.02
P1 0.0000 0.5000 0.0000  -0.03
P2 0.5000 0.0000 0.0000  -0.03
Mn1 0.0000 0.0000 0.0000  1.18